# 1
First-principles (PBE) data for a relaxed YPu2 crystal, as listed in Alexandria.

Values from the calculation:
Energy of formation from the pure elements, kcal/mol of atoms: 5.279

Cell: 8.7595 8.7595 8.7595 Å, 90.00 90.00 90.00°
Space group Fd-3m (No. 227, origin choice 2)
Inequivalent atoms, fractional coordinates:
Y1 0.1250 0.1250 0.1250 (multiplicity 8)
Pu1 0.0000 0.0000 0.5000 (multiplicity 16)

# 2
First-principles (PBE) data for a relaxed Rb3Na2TlF9 crystal, as listed in Alexandria.

Values from the calculation:
ΔE_f (raw), eV per atom: -2.357

Cell: 6.2814 6.2814 7.9256 Å, 90.00 90.00 120.00°
Space group P-3m1 (No. 164)
Inequivalent atoms, fractional coordinates:
Rb1 0.0000 0.0000 0.0000 (multiplicity 1)
Rb2 0.3333 0.6667 0.6886 (multiplicity 2)
Na1 0.3333 0.6667 0.1748 (multiplicity 2)
Tl1 0.0000 0.0000 0.5000 (multiplicity 1)
F1 0.0000 0.5000 0.0000 (multiplicity 3)
F2 0.1622 0.3243 0.3382 (multiplicity 6)

# 3
First-principles (PBE) data for a relaxed HoSnPt crystal, as listed in Alexandria.

Values from the calculation:
Energy of formation from the pure elements, kcal/mol of atoms: -24.109

Cell: 6.6269 6.6269 6.6269 Å, 90.00 90.00 90.00°
Space group F-43m (No. 216)
Inequivalent atoms, fractional coordinates:
Ho1 0.0000 0.0000 0.0000 (multiplicity 4)
Sn1 0.0000 0.0000 0.5000 (multiplicity 4)
Pt1 0.2500 0.2500 0.7500 (multiplicity 4)

# 4
First-principles (PBE) data for a relaxed YSi2W crystal, as listed in Alexandria.

Values from the calculation:
Energy above the most stable polymorph in this dataset, eV per atom: 0.117
ΔE_f (raw), eV per atom: -0.229

Cell: 3.8529 3.6147 9.8676 Å, 90.00 90.00 90.00°
Space group Amm2 (No. 38)
Inequivalent atoms, fractional coordinates:
Y1 0.0000 0.0000 0.0000 (multiplicity 2)
Si1 0.0000 0.0000 0.7267 (multiplicity 2)
Si2 0.5000 0.0000 0.5824 (multiplicity 2)
W1 0.5000 0.0000 0.2890 (multiplicity 2)

Total moment
In order: 91.48, 1.15, 0.00, 0.00
Unit: Bohr magnetons per cell